Entry 1:
The following is a PBE-GGA calculation of a relaxed structure of BaBrO2, from Alexandria via LeMat-Bulk.

Results
E above lowest polymorph   63.25 kJ per mole of atoms
V   21.6 Å³/atom
Crystal system   tetragonal
E_form (uncorrected)   -3.24 eV per formula unit

The structure in CIF format:
```
data_BaBrO2
_cell_length_a 4.9554
_cell_length_b 4.9554
_cell_length_c 14.1053
_cell_angle_alpha 90.00
_cell_angle_beta 90.00
_cell_angle_gamma 90.00
_space_group_name_H-M_alt 'I -4 2 d'
_space_group_IT_number 122
_space_group_name_Hall 'I -4 2bw'
loop_
_atom_site_label
_atom_site_type_symbol
_atom_site_fract_x
_atom_site_fract_y
_atom_site_fract_z
Ba1 Ba 0.0000 0.0000 0.0000
Br1 Br 0.0000 0.0000 0.5000
O1 O 0.1818 0.2500 0.6250
```

Entry 2:
The following is a PBE-GGA calculation of a relaxed structure of ZnInTe2, from Alexandria via LeMat-Bulk.

Results
V   28.9 Å³/atom
Crystal system   tetragonal
E_form (uncorrected)   0.47 eV per formula unit

The structure in CIF format:
```
data_ZnInTe2
_cell_length_a 4.3965
_cell_length_b 4.3965
_cell_length_c 11.9748
_cell_angle_alpha 90.00
_cell_angle_beta 90.00
_cell_angle_gamma 90.00
_space_group_name_H-M_alt 'I 4/m m m'
_space_group_IT_number 139
_space_group_name_Hall '-I 4 2'
loop_
_atom_site_label
_atom_site_type_symbol
_atom_site_fract_x
_atom_site_fract_y
_atom_site_fract_z
Zn1 Zn 0.0000 0.0000 0.0000
In1 In 0.0000 0.0000 0.5000
Te1 Te 0.0000 0.5000 0.2500
```

Entry 3:
The following is a PBE-GGA calculation of a relaxed structure of Ti4SnPd, from Alexandria via LeMat-Bulk.

Results
V   18.9 Å³/atom
Crystal system   triclinic
E_form   -22.1 meV/atom

The structure in CIF format:
```
data_Ti4SnPd
_cell_length_a 5.0834
_cell_length_b 6.4332
_cell_length_c 7.5224
_cell_angle_alpha 79.43
_cell_angle_beta 70.25
_cell_angle_gamma 89.94
_space_group_name_H-M_alt 'P -1'
_space_group_IT_number 2
loop_
_space_group_symop_operation_xyz
'x,y,z'
'-x,-y,-z'
loop_
_atom_site_label
_atom_site_type_symbol
_atom_site_fract_x
_atom_site_fract_y
_atom_site_fract_z
Ti1 Ti 0.0151 0.1096 0.1680
Ti2 Ti 0.3162 0.5709 0.6496
Ti3 Ti 0.3164 0.6101 0.1678
Ti4 Ti 0.4656 0.9284 0.3508
Sn1 Sn 0.1090 0.2501 0.4998
Pd1 Pd 0.0000 0.5000 0.0000
Pd2 Pd 0.5000 0.0000 0.0000
```

Entry 4:
The following is a PBE-GGA calculation of a relaxed structure of BaNdTe, from Alexandria via LeMat-Bulk.

Results
V   37.3 Å³/atom
Crystal system   tetragonal
E_form (uncorrected)   -2.88 eV per formula unit

The structure in CIF format:
```
data_BaNdTe
_cell_length_a 4.8420
_cell_length_b 4.8420
_cell_length_c 9.5502
_cell_angle_alpha 90.00
_cell_angle_beta 90.00
_cell_angle_gamma 90.00
_space_group_name_H-M_alt 'P 4/n m m'
_space_group_IT_number 129
loop_
_space_group_symop_operation_xyz
'x,y,z'
'-x,-y,-z'
'-y+1/2,x,z'
'y+1/2,-x,-z'
'-x+1/2,-y+1/2,z'
'x+1/2,y+1/2,-z'
'y,-x+1/2,z'
'-y,x+1/2,-z'
'x+1/2,-y,-z'
'-x+1/2,y,z'
'-y,-x,-z'
'y,x,z'
'-x,y+1/2,-z'
'x,-y+1/2,z'
'y+1/2,x+1/2,-z'
'-y+1/2,-x+1/2,z'
loop_
_atom_site_label
_atom_site_type_symbol
_atom_site_fract_x
_atom_site_fract_y
_atom_site_fract_z
Ba1 Ba 0.2500 0.2500 0.1448
Nd1 Nd 0.2500 0.7500 0.5000
Te1 Te 0.2500 0.2500 0.7489
```

Entry 5:
The following is a PBE-GGA calculation of a relaxed structure of Hf4Ti2Tl, from Alexandria via LeMat-Bulk.

Results
E above lowest polymorph   86.73 kJ per mole of atoms
V   26.6 Å³/atom
Crystal system   tetragonal
E_form   1282.9 meV/atom

The structure in CIF format:
```
data_Hf4Ti2Tl
_cell_length_a 5.3382
_cell_length_b 5.3382
_cell_length_c 13.0837
_cell_angle_alpha 90.00
_cell_angle_beta 90.00
_cell_angle_gamma 90.00
_space_group_name_H-M_alt 'I 4/m m m'
_space_group_IT_number 139
_space_group_name_Hall '-I 4 2'
loop_
_atom_site_label
_atom_site_type_symbol
_atom_site_fract_x
_atom_site_fract_y
_atom_site_fract_z
Hf1 Hf 0.0000 0.0000 0.2110
Hf2 Hf 0.0000 0.5000 0.0000
Ti1 Ti 0.0000 0.0000 0.4099
Tl1 Tl 0.0000 0.0000 0.0000
```

Entry 6:
The following is a PBE-GGA calculation of a relaxed structure of U2Co3P4Rh, from Alexandria via LeMat-Bulk.

Results
V   14.3 Å³/atom
Crystal system   tetragonal
E_form   -838.8 meV/atom

The structure in CIF format:
```
data_U2Co3P4Rh
_cell_length_a 3.9657
_cell_length_b 3.9657
_cell_length_c 9.1243
_cell_angle_alpha 90.00
_cell_angle_beta 90.00
_cell_angle_gamma 90.00
_space_group_name_H-M_alt 'P -4 m 2'
_space_group_IT_number 115
loop_
_space_group_symop_operation_xyz
'x,y,z'
'y,-x,-z'
'-x,-y,z'
'-y,x,-z'
'-x,y,z'
'-y,-x,-z'
'x,-y,z'
'y,x,-z'
loop_
_atom_site_label
_atom_site_type_symbol
_atom_site_fract_x
_atom_site_fract_y
_atom_site_fract_z
U1 U 0.0000 0.5000 0.2400
Co1 Co 0.0000 0.5000 0.8900
Co2 Co 0.5000 0.5000 0.5000
P1 P 0.0000 0.0000 0.0000
P2 P 0.0000 0.5000 0.6450
P3 P 0.5000 0.5000 0.0000
Rh1 Rh 0.0000 0.0000 0.5000
```

Entry 7:
The following is a PBE-GGA calculation of a relaxed structure of GaNi4B, from Alexandria via LeMat-Bulk.

Results
V   10.5 Å³/atom
Crystal system   orthorhombic
E_form   -292.7 meV/atom

The structure in CIF format:
```
data_GaNi4B
_cell_length_a 6.2656
_cell_length_b 2.7602
_cell_length_c 14.5777
_cell_angle_alpha 90.00
_cell_angle_beta 90.00
_cell_angle_gamma 90.00
_space_group_name_H-M_alt 'P n m a'
_space_group_IT_number 62
loop_
_space_group_symop_operation_xyz
'x,y,z'
'-x,-y,-z'
'-x+1/2,-y,z+1/2'
'x+1/2,y,-z+1/2'
'x+1/2,-y+1/2,-z+1/2'
'-x+1/2,y+1/2,z+1/2'
'-x,y+1/2,-z'
'x,-y+1/2,z'
loop_
_atom_site_label
_atom_site_type_symbol
_atom_site_fract_x
_atom_site_fract_y
_atom_site_fract_z
Ga1 Ga 0.2445 0.2500 0.1827
Ni1 Ni 0.0115 0.2500 0.4338
Ni2 Ni 0.0610 0.7500 0.2927
Ni3 Ni 0.1284 0.7500 0.8553
Ni4 Ni 0.1442 0.7500 0.0386
B1 B 0.2489 0.7500 0.4438
```

Entry 8:
The following is a PBE-GGA calculation of a relaxed structure of SmGa6Au12, from Alexandria via LeMat-Bulk.

Results
V   19.5 Å³/atom
Crystal system   trigonal
E_form   -206.1 meV/atom

The structure in CIF format:
```
data_SmGa6Au12
_cell_length_a 12.0726
_cell_length_b 12.0726
_cell_length_c 8.8204
_cell_angle_alpha 90.00
_cell_angle_beta 90.00
_cell_angle_gamma 120.00
_space_group_name_H-M_alt 'R -3 m'
_space_group_IT_number 166
_space_group_name_Hall '-R 3 2"'
loop_
_atom_site_label
_atom_site_type_symbol
_atom_site_fract_x
_atom_site_fract_y
_atom_site_fract_z
Sm1 Sm 0.0000 0.0000 0.0000
Ga1 Ga 0.0572 0.5286 0.2478
Au1 Au 0.0000 0.3811 0.5000
Au2 Au 0.0813 0.1625 0.2926
```

Entry 9:
The following is a PBE-GGA calculation of a relaxed structure of BaMn2Cr, from Alexandria via LeMat-Bulk.

Results
E above lowest polymorph   65.68 kJ per mole of atoms
V   21.8 Å³/atom
Crystal system   orthorhombic
E_form   1168.4 meV/atom

The structure in CIF format:
```
data_BaMn2Cr
_cell_length_a 6.2569
_cell_length_b 8.3873
_cell_length_c 3.3267
_cell_angle_alpha 90.00
_cell_angle_beta 90.00
_cell_angle_gamma 90.00
_space_group_name_H-M_alt 'C m m m'
_space_group_IT_number 65
_space_group_name_Hall '-C 2 2'
loop_
_atom_site_label
_atom_site_type_symbol
_atom_site_fract_x
_atom_site_fract_y
_atom_site_fract_z
Ba1 Ba 0.0000 0.0000 0.0000
Mn1 Mn 0.2500 0.2500 0.5000
Cr1 Cr 0.0000 0.5000 0.0000
```

Entry 10:
The following is a PBE-GGA calculation of a relaxed structure of K2BaY, from Alexandria via LeMat-Bulk.

Results
E above lowest polymorph   36.61 kJ per mole of atoms
V   55.6 Å³/atom
Crystal system   tetragonal
E_form   642.3 meV/atom

The structure in CIF format:
```
data_K2BaY
_cell_length_a 10.7869
_cell_length_b 10.7869
_cell_length_c 7.6416
_cell_angle_alpha 90.00
_cell_angle_beta 90.00
_cell_angle_gamma 90.00
_space_group_name_H-M_alt 'I -4 2 d'
_space_group_IT_number 122
_space_group_name_Hall 'I -4 2bw'
loop_
_atom_site_label
_atom_site_type_symbol
_atom_site_fract_x
_atom_site_fract_y
_atom_site_fract_z
K1 K 0.2393 0.2500 0.1250
Ba1 Ba 0.0000 0.0000 0.5000
Y1 Y 0.0000 0.0000 0.0000
```

In the order shown, the computed spin magnetization values come out to 0.00; 0.00; 0.01; 1.08; 2.02; 4.37; 0.00; 0.00; 22.25; 7.60 μB per cell.
In the order shown, the computed total DFT energy (no corrections) values come out to -4.19; -2.46; -6.82; -4.24; -7.00; -8.13; -5.76; -3.48; -6.30; -2.00 eV per atom.